The following is a DFT calculation (GGA-PBE) of a relaxed structure of Na2GaB2O6.

Unit cell a=5.025 b=5.025 c=5.960 alpha=90.00 beta=90.00 gamma=120.00
Positions (direct):
Na 0.333 0.667 0.341
Na 0.667 0.333 0.659
Ga 0.000 0.000 0.000
B 0.333 0.667 0.816
B 0.667 0.333 0.184
O 0.105 0.364 0.802
O 0.259 0.895 0.802
O 0.364 0.259 0.198
O 0.636 0.741 0.802
O 0.741 0.105 0.198
O 0.895 0.636 0.198

- Total DFT energy (no corrections): -6.35 eV/atom
- Fermi-level density of states: 5.127 states/eV/f.u.
- ρ: 2.97 Mg/m³
- Total magnetic moment: 1.017 μB/f.u.